Below is crystalline Pm2MnGaO6 at its relaxed geometry, with properties calculated at the PBE with a Hubbard U level.

```
data_Pm2MnGaO6
_cell_length_a 5.235
_cell_length_b 5.235
_cell_length_c 4.771
_cell_angle_alpha 90.00
_cell_angle_beta 90.00
_cell_angle_gamma 90.00
_symmetry_space_group_name_H-M 'P 4 m m'
_symmetry_Int_Tables_number 99
loop_
_symmetry_equiv_pos_as_xyz
'x,y,z'
'-y,x,z'
'-x,-y,z'
'y,-x,z'
'-x,y,z'
'y,x,z'
'x,-y,z'
'-y,-x,z'
loop_
_atom_site_label
_atom_site_type_symbol
_atom_site_fract_x
_atom_site_fract_y
_atom_site_fract_z
_atom_site_occupancy
Pm1 Pm 0.000 0.500 0.000 1
Mn1 Mn 0.000 0.000 0.586 1
Ga1 Ga 0.500 0.500 0.549 1
O1 O 0.000 0.000 0.150 1
O2 O 0.253 0.253 0.687 1
O3 O 0.500 0.500 0.160 1
```

Results
The calculation puts the total energy at -7.450 eV per atom. For the total magnetization, the calculation gives 4.000 μB per formula unit. The density comes out at 6.486 g/cm3.